# 1
CsHgP: relaxed, PBE.

a = 7.511 Å, b = 7.232 Å, c = 4.839 Å
α = 102.59°, β = 104.75°, γ = 91.89°
Positions (direct):
Cs 0.471 0.733 0.688
Cs 0.866 0.274 0.350
P 0.141 0.548 0.031
P 0.948 0.727 0.178
Hg 0.319 0.200 0.104
Hg 0.004 0.877 0.750

Properties
Fermi-level density of states	0.00	states/eV per cell
symmetry	P1
raw total energy	-2.363	eV per atom

***

# 2
CsHgP: relaxed, PBE.

a = 7.401 Å, b = 7.185 Å, c = 5.493 Å
α = 106.77°, β = 100.89°, γ = 67.38°
Positions (direct):
Cs 0.922 0.849 0.360
Cs 0.338 0.124 0.868
P 0.993 0.328 0.330
P 0.780 0.250 0.032
Hg 0.795 0.434 0.709
Hg 0.494 0.629 0.290

Properties
Fermi-level density of states	0.00	states/eV per cell
symmetry	P1
raw total energy	-2.420	eV per atom

***

# 3
CsHgP: relaxed, PBE.

a = 12.678 Å, b = 7.245 Å, c = 7.245 Å
α = 80.91°, β = 127.72°, γ = 52.28°
Positions (direct):
Cs 0.000 0.148 0.148
Cs 0.500 0.237 0.237
P 0.867 0.763 0.233
P 0.133 0.233 0.763
Hg 0.690 0.501 0.258
Hg 0.310 0.258 0.501

Properties
Fermi-level density of states	0.00	states/eV per cell
symmetry	C2
raw total energy	-2.429	eV per atom

***

# 4
CsHgP: relaxed, PBE.

a = 5.106 Å, b = 5.106 Å, c = 5.887 Å
α = 115.70°, β = 115.70°, γ = 90.00°
Positions (direct):
Cs 0.944 0.944 0.887
P 0.585 0.585 0.170
Hg 0.322 0.322 0.643

Properties
Fermi-level density of states	2.75	states/eV per cell
symmetry	I4mm
raw total energy	-1.821	eV per atom

***

# 5
Cs2HgP2: relaxed, PBE.

a = 9.392 Å, b = 9.392 Å, c = 4.543 Å
α = 90.00°, β = 90.00°, γ = 90.00°
Last column: magnetic moment on the atom in μB.
Positions (direct):
Cs 0.204 0.704 0.500  0.01
Cs 0.704 0.796 0.500  0.01
Cs 0.796 0.296 0.500  0.01
Cs 0.296 0.204 0.500  0.01
P 0.423 0.923 0.000  0.08
P 0.923 0.577 0.000  0.08
P 0.577 0.077 0.000  0.08
P 0.077 0.423 0.000  0.08
Hg 0.000 0.000 0.000  0.01
Hg 0.500 0.500 0.000  0.02

Properties
Fermi-level density of states	9.95	states/eV per cell
symmetry	P4/mbm
excess energy over the best structure of this formula in the dataset	0	meV per atom

***

# 6
Cs2HgP: relaxed, PBE.

a = 6.175 Å, b = 6.175 Å, c = 6.175 Å
α = 60.00°, β = 60.00°, γ = 60.00°
Last column: magnetic moment on the atom in μB.
Positions (direct):
Cs 0.250 0.250 0.250  0.01
Cs 0.750 0.750 0.750  0.01
P 0.000 0.000 0.000  0.38
Hg 0.500 0.500 0.500  0.00

Properties
Fermi-level density of states	4.42	states/eV per cell
symmetry	Fm-3m
excess energy over the best structure of this formula in the dataset	171	meV per atom

***

# 7
CsHgP: relaxed, PBE.

a = 12.092 Å, b = 6.652 Å, c = 6.912 Å
α = 90.00°, β = 90.00°, γ = 90.00°
Positions (direct):
Cs 0.653 0.250 0.954
Cs 0.847 0.750 0.454
Cs 0.347 0.750 0.046
Cs 0.153 0.250 0.546
P 0.417 0.250 0.288
P 0.083 0.750 0.788
P 0.583 0.750 0.712
P 0.917 0.250 0.212
Hg 0.000 0.000 0.000
Hg 0.500 0.500 0.500
Hg 0.500 0.000 0.500
Hg 0.000 0.500 0.000

Properties
Fermi-level density of states	0.00	states/eV per cell
symmetry	Pnma
raw total energy	-2.483	eV per atom

***

# 8
CsHgP: relaxed, PBE.

a = 16.914 Å, b = 7.080 Å, c = 7.080 Å
α = 140.39°, β = 150.46°, γ = 29.54°
Positions (direct):
Cs 0.770 0.416 0.584
Cs 0.230 0.584 0.416
P 0.642 0.288 0.712
P 0.358 0.712 0.288
Hg 0.186 0.351 0.649
Hg 0.814 0.649 0.351

Properties
Fermi-level density of states	1.30	states/eV per cell
symmetry	C2/m
raw total energy	-2.385	eV per atom

***

# 9
Cs2HgP2: relaxed, PBE.

a = 3.647 Å, b = 3.647 Å, c = 12.396 Å
α = 81.54°, β = 81.54°, γ = 90.00°
Positions (direct):
Cs 0.372 0.372 0.256
Cs 0.628 0.628 0.744
P 0.750 0.250 0.500
P 0.250 0.750 0.500
Hg 0.000 0.000 0.000

Properties
Fermi-level density of states	3.40	states/eV per cell
symmetry	I4/mmm
excess energy over the best structure of this formula in the dataset	242	meV per atom

***

# 10
Cs12Hg5P3: relaxed, PBE.

a = 18.586 Å, b = 18.586 Å, c = 18.586 Å
α = 109.47°, β = 109.47°, γ = 109.47°
Positions (direct):
P 0.750 0.375 0.125
P 0.875 0.750 0.125
P 0.375 0.750 0.625
P 0.250 0.125 0.375
P 0.875 0.125 0.250
P 0.375 0.625 0.250
P 0.625 0.375 0.750
P 0.125 0.875 0.750
P 0.750 0.875 0.625
P 0.625 0.250 0.375
P 0.125 0.250 0.875
P 0.250 0.625 0.875
Hg 0.125 0.375 0.250
Hg 0.000 0.500 0.000
Hg 0.000 0.000 0.000
Hg 0.375 0.250 0.125
Hg 0.500 0.000 0.500
Hg 0.500 0.500 0.000
Hg 0.125 0.750 0.375
Hg 0.750 0.125 0.875
Hg 0.750 0.625 0.375
Hg 0.375 0.125 0.750
Hg 0.625 0.875 0.250
Hg 0.500 0.500 0.500
Hg 0.500 0.000 0.000
Hg 0.000 0.000 0.500
Hg 0.250 0.375 0.625
Hg 0.250 0.875 0.125
Hg 0.000 0.500 0.500
Hg 0.875 0.250 0.625
Hg 0.625 0.750 0.875
Hg 0.875 0.625 0.750
Cs 0.741 0.133 0.071
Cs 0.329 0.571 0.437
Cs 0.929 0.367 0.259
Cs 0.571 0.241 0.133
Cs 0.608 0.741 0.671
Cs 0.929 0.563 0.171
Cs 0.329 0.759 0.392
Cs 0.063 0.892 0.133
Cs 0.563 0.929 0.671
Cs 0.741 0.608 0.171
Cs 0.759 0.429 0.367
Cs 0.829 0.937 0.071
Cs 0.133 0.741 0.571
Cs 0.367 0.437 0.108
Cs 0.108 0.937 0.367
Cs 0.392 0.133 0.563
Cs 0.108 0.171 0.241
Cs 0.429 0.671 0.063
Cs 0.829 0.892 0.259
Cs 0.133 0.392 0.063
Cs 0.367 0.929 0.759
Cs 0.563 0.633 0.392
Cs 0.937 0.829 0.571
Cs 0.759 0.329 0.892
Cs 0.437 0.367 0.608
Cs 0.063 0.171 0.429
Cs 0.241 0.671 0.108
Cs 0.171 0.108 0.741
Cs 0.633 0.071 0.241
Cs 0.867 0.608 0.937
Cs 0.571 0.329 0.937
Cs 0.608 0.867 0.437
Cs 0.892 0.829 0.759
Cs 0.892 0.063 0.633
Cs 0.867 0.259 0.429
Cs 0.171 0.063 0.929
Cs 0.633 0.563 0.892
Cs 0.437 0.071 0.329
Cs 0.259 0.392 0.829
Cs 0.241 0.571 0.633
Cs 0.937 0.108 0.867
Cs 0.671 0.241 0.608
Cs 0.429 0.759 0.867
Cs 0.071 0.437 0.829
Cs 0.392 0.259 0.329
Cs 0.071 0.633 0.741
Cs 0.671 0.429 0.563
Cs 0.259 0.867 0.929

Properties
Fermi-level density of states	61.05	states/eV per cell
symmetry	Ia-3d
raw total energy	-1.428	eV per atom

***

# 11
CsHgP3: relaxed, PBE.

a = 5.234 Å, b = 5.234 Å, c = 5.234 Å
α = 90.00°, β = 90.00°, γ = 90.00°
Positions (direct):
Cs 0.500 0.500 0.500
P 0.000 0.500 0.000
P 0.000 0.000 0.500
P 0.500 0.000 0.000
Hg 0.000 0.000 0.000

Properties
Fermi-level density of states	5.80	states/eV per cell
symmetry	Pm-3m
raw total energy	-2.605	eV per atom

***

# 12
CsHg2P2: relaxed, PBE.

a = 5.189 Å, b = 5.189 Å, c = 6.918 Å
α = 67.97°, β = 67.97°, γ = 90.00°
Positions (direct):
Cs 0.000 0.000 0.000
P 0.414 0.414 0.172
P 0.586 0.586 0.828
Hg 0.750 0.250 0.500
Hg 0.250 0.750 0.500

Properties
Fermi-level density of states	3.24	states/eV per cell
symmetry	I4/mmm
excess energy over the best structure of this formula in the dataset	0	meV per atom